KNiI2O: optimized geometry, GGA+U.

```
KNiI2O
1.0
6.259 0.000 0.000
0.000 6.259 0.000
0.000 0.000 3.574
I Ni K O
2 1 1 1
Cartesian
0.000 3.129 0.000 I
3.129 0.000 0.000 I
0.000 0.000 0.000 Ni
3.129 3.129 1.787 K
0.000 0.000 1.787 O
```

Energy in eV/atom: -2.863
Polymorph energy (0 for the lowest one) in eV per atom: 0.0000